1.
# Na2NpPaSe4

Na2NpPaSe4 after structural relaxation (PBE, the Alexandria database).

Geometry as CIF:
```
data_Na2NpPaSe4
_chemical_formula_sum 'Na2 Np1 Pa1 Se4'
_space_group_name_H-M_alt 'P 1 2/m 1'
_space_group_IT_number 10
_space_group_name_Hall '-P 2y'
_cell_length_a 7.1531
_cell_length_b 4.1246
_cell_length_c 7.4995
_cell_angle_alpha 90.00
_cell_angle_beta 108.43
_cell_angle_gamma 90.00
loop_
_atom_site_label
_atom_site_type_symbol
_atom_site_fract_x
_atom_site_fract_y
_atom_site_fract_z
Na1 Na 0.0000 0.0000 0.0000
Na2 Na 0.5000 0.5000 0.0000
Np1 Np 0.0000 0.5000 0.5000
Pa1 Pa 0.5000 0.0000 0.5000
Se1 Se 0.2491 0.0000 0.7348
Se2 Se 0.2575 0.5000 0.2634
```

## Properties
E_form (uncorrected)   -1.2475 eV per atom
E   -48.99 eV for the cell shown
Spin magnetization   6.01 μB/cell



2.
# Y6PtSe5

Y6PtSe5 after structural relaxation (PBE, the Alexandria database).

Geometry as CIF:
```
data_Y6PtSe5
_chemical_formula_sum 'Y12 Pt2 Se10'
_space_group_name_H-M_alt 'C 1 2/m 1'
_space_group_IT_number 12
_space_group_name_Hall '-C 2y'
_cell_length_a 7.1318
_cell_length_b 12.3494
_cell_length_c 7.1081
_cell_angle_alpha 90.00
_cell_angle_beta 109.67
_cell_angle_gamma 90.00
loop_
_atom_site_label
_atom_site_type_symbol
_atom_site_fract_x
_atom_site_fract_y
_atom_site_fract_z
Y1 Y 0.2395 0.1612 0.2397
Y2 Y 0.2407 0.0000 0.7554
Pt1 Pt 0.0000 0.0000 0.0000
Se1 Se 0.0000 0.1740 0.5000
Se2 Se 0.0000 0.3346 0.0000
Se3 Se 0.0000 0.5000 0.5000
```

## Properties
E_form (uncorrected)   -1.7125 eV per atom
E   -165.60 eV for the cell shown
Spin magnetization   0.00 μB/cell



3.
# Ba2AsAu2

Ba2AsAu2 after structural relaxation (PBE, the Alexandria database).

Geometry as CIF:
```
data_Ba2AsAu2
_chemical_formula_sum 'Ba4 As2 Au4'
_space_group_name_H-M_alt 'P 4/m b m'
_space_group_IT_number 127
_space_group_name_Hall '-P 4 2ab'
_cell_length_a 8.1246
_cell_length_b 8.1246
_cell_length_c 4.6142
_cell_angle_alpha 90.00
_cell_angle_beta 90.00
_cell_angle_gamma 90.00
loop_
_atom_site_label
_atom_site_type_symbol
_atom_site_fract_x
_atom_site_fract_y
_atom_site_fract_z
Ba1 Ba 0.1856 0.3144 0.0000
As1 As 0.0000 0.0000 0.5000
Au1 Au 0.1210 0.6210 0.5000
```

## Properties
ΔE to the lowest computed polymorph   0 meV per atom
Energy relative to the elements   -14.95 kcal/mol of atoms
E   -36.58 eV for the cell shown
Spin magnetization   0.00 μB/cell



4.
# Ac3Nd5Ho2

Ac3Nd5Ho2 after structural relaxation (PBE, the Alexandria database).

Geometry as CIF:
```
data_Ac3Nd5Ho2
_chemical_formula_sum 'Ac6 Nd10 Ho4'
_space_group_name_H-M_alt 'P -1'
_space_group_IT_number 2
_space_group_name_Hall '-P 1'
_cell_length_a 9.8948
_cell_length_b 9.8973
_cell_length_c 9.9162
_cell_angle_alpha 106.70
_cell_angle_beta 115.08
_cell_angle_gamma 106.67
loop_
_atom_site_label
_atom_site_type_symbol
_atom_site_fract_x
_atom_site_fract_y
_atom_site_fract_z
Ac1 Ac 0.0828 0.3521 0.0342
Ac2 Ac 0.2710 0.9519 0.4219
Ac3 Ac 0.3221 0.8459 0.7726
Nd1 Nd 0.0263 0.4480 0.6746
Nd2 Nd 0.1312 0.2535 0.3846
Nd3 Nd 0.2264 0.0552 0.0752
Nd4 Nd 0.3811 0.7481 0.1262
Nd5 Nd 0.4717 0.5450 0.8228
Ho1 Ho 0.1755 0.1510 0.7251
Ho2 Ho 0.4302 0.6444 0.4783
```

## Properties
Energy relative to the elements   0.98 kcal/mol of atoms
E   -89.79 eV for the cell shown
Spin magnetization   0.00 μB/cell



5.
# AcCrAs2

AcCrAs2 after structural relaxation (PBE, the Alexandria database).

Geometry as CIF:
```
data_AcCrAs2
_chemical_formula_sum 'Ac3 Cr3 As6'
_space_group_name_H-M_alt 'R -3 m'
_space_group_IT_number 166
_space_group_name_Hall '-R 3 2"'
_cell_length_a 4.1606
_cell_length_b 4.1606
_cell_length_c 18.7529
_cell_angle_alpha 90.00
_cell_angle_beta 90.00
_cell_angle_gamma 120.00
loop_
_atom_site_label
_atom_site_type_symbol
_atom_site_fract_x
_atom_site_fract_y
_atom_site_fract_z
Ac1 Ac 0.0000 0.0000 0.0000
Cr1 Cr 0.0000 0.0000 0.5000
As1 As 0.0000 0.0000 0.2270
```

## Properties
ΔE to the lowest computed polymorph   0 meV per atom
Energy relative to the elements   -16.33 kcal/mol of atoms
E   -77.59 eV for the cell shown
Spin magnetization   8.66 μB/cell



6.
# TbSm2ErTm2

TbSm2ErTm2 after structural relaxation (PBE, the Alexandria database).

Geometry as CIF:
```
data_TbSm2ErTm2
_chemical_formula_sum 'Tb2 Sm4 Er2 Tm4'
_space_group_name_H-M_alt 'P n n m'
_space_group_IT_number 58
_space_group_name_Hall '-P 2 2n'
_cell_length_a 6.4786
_cell_length_b 17.8657
_cell_length_c 3.3872
_cell_angle_alpha 90.00
_cell_angle_beta 90.00
_cell_angle_gamma 90.00
loop_
_atom_site_label
_atom_site_type_symbol
_atom_site_fract_x
_atom_site_fract_y
_atom_site_fract_z
Tb1 Tb 0.0000 0.0000 0.0000
Sm1 Sm 0.2234 0.1876 0.0000
Er1 Er 0.0000 0.5000 0.0000
Tm1 Tm 0.2211 0.3547 0.5000
```

## Properties
Energy relative to the elements   6.31 kcal/mol of atoms
E   -51.87 eV for the cell shown
Spin magnetization   0.00 μB/cell



Number 5 is which compound?
AcCrAs2



Which of these has the lowest E?
Y6PtSe5